(1)
Entry from the Alexandria database: Nb6Ga5 after structural relaxation (PBE).

The space group is C2/m (No. 12) and the conventional cell measures 6.4352, 9.6527 and 6.5526 Å, with angles of 90.00, 105.10 and 90.00 degrees. The asymmetric unit holds Nb at (0.1731, 0.0000, 0.1912), Nb at (0.1797, 0.1422, 0.6894), Ga at (0.0000, 0.2384, 0.0000), Ga at (0.0000, 0.3712, 0.5000) and Ga at (0.0000, 0.5000, 0.0000).

As for the formation energy: -15 meV per atom. Its crystal system is monoclinic. The total energy is -151.44 eV per cell. Its total magnetization is 0.0 Bohr magnetons per cell.

---

(2)
Entry from the Alexandria database: CrTc2SnN after structural relaxation (PBE).

The space group is P4/mmm (No. 123) and the conventional cell measures 4.1612, 4.1612 and 3.9281 Å, with angles of 90.00, 90.00 and 90.00 degrees. The asymmetric unit holds Cr at (0.0000, 0.0000, 0.0000), Tc at (0.0000, 0.5000, 0.5000), Sn at (0.5000, 0.5000, 0.0000) and N at (0.0000, 0.0000, 0.5000).

Its crystal system is tetragonal. The total energy is -43.06 eV per cell. Its total magnetization is 2.1 Bohr magnetons per cell. The calculation puts the energy relative to the elements, uncorrected at -0.0753 eV per atom.

---

(3)
Entry from the Alexandria database: Ba2ScGa2 after structural relaxation (PBE).

The space group is P4/mbm (No. 127) and the conventional cell measures 7.7618, 7.7618 and 5.3612 Å, with angles of 90.00, 90.00 and 90.00 degrees. The asymmetric unit holds Ba at (0.1805, 0.3195, 0.0000), Sc at (0.0000, 0.0000, 0.5000) and Ga at (0.1212, 0.6212, 0.5000).

As for the formation energy: -138 meV per atom. Its crystal system is tetragonal. The total energy is -33.84 eV per cell. Its total magnetization is 0.0 Bohr magnetons per cell.

---

(4)
Entry from the Alexandria database: TbErPt after structural relaxation (PBE).

The space group is P3m1 (No. 156) and the conventional cell measures 4.6094, 4.6094 and 4.1923 Å, with angles of 90.00, 90.00 and 120.00 degrees. The asymmetric unit holds Tb at (0.0000, 0.0000, 0.0000), Er at (0.3333, 0.6667, 0.5157) and Pt at (0.6667, 0.3333, 0.2804).

As for the formation energy: -686 meV per atom. Its crystal system is trigonal. The total energy is -17.29 eV per cell. Its total magnetization is 0.0 Bohr magnetons per cell. As for the polymorph energy (0 for the lowest one): 195 meV/atom.

---

(5)
Entry from the Alexandria database: ZrZnPt after structural relaxation (PBE).

The space group is Immm (No. 71) and the conventional cell measures 4.4845, 5.7111 and 7.9957 Å, with angles of 90.00, 90.00 and 90.00 degrees. The asymmetric unit holds Zr at (0.0000, 0.2458, 0.0000), Zn at (0.0000, 0.0000, 0.3376) and Pt at (0.0000, 0.5000, 0.3262).

As for the formation energy: -736 meV per atom. Its crystal system is orthorhombic. The total energy is -72.28 eV per cell. Its total magnetization is 0.0 Bohr magnetons per cell.

---

(6)
Entry from the Alexandria database: Sr2ReSi after structural relaxation (PBE).

The space group is Amm2 (No. 38) and the conventional cell measures 4.1756, 4.7545 and 11.5329 Å, with angles of 90.00, 90.00 and 90.00 degrees. The asymmetric unit holds Sr at (0.0000, 0.0000, 0.0000), Sr at (0.5000, 0.0000, 0.2831), Re at (0.0000, 0.0000, 0.6881) and Si at (0.5000, 0.0000, 0.5905).

Its crystal system is orthorhombic. The total energy is -41.03 eV per cell. Its total magnetization is 0.0 Bohr magnetons per cell. The calculation puts the energy relative to the elements, uncorrected at 0.1793 eV per atom.